(1)
# Ba3InBi | Alexandria | GGA-PBE | relaxed
data_Ba3InBi
_symmetry_space_group_name_H-M 'P m -3 m'
_symmetry_Int_Tables_number 221
_symmetry_space_group_name_Hall '-P 4 2 3'
_cell_length_a 6.718
_cell_length_b 6.718
_cell_length_c 6.718
_cell_angle_alpha 90.00
_cell_angle_beta 90.00
_cell_angle_gamma 90.00
loop_
_atom_site_label
_atom_site_type_symbol
_atom_site_fract_x
_atom_site_fract_y
_atom_site_fract_z
Ba1 Ba 0.000 0.000 0.500
In1 In 0.500 0.500 0.500
Bi1 Bi 0.000 0.000 0.000
# Formation energy ... -5.930 kcal/mol of atoms
# Energy ... -2.735 eV per atom
# Energy above the lowest structure with this stoichiometry ... 299 meV/atom

***

(2)
# Tb3Tm2Cd3 | Alexandria | GGA-PBE | relaxed
data_Tb3Tm2Cd3
_symmetry_space_group_name_H-M 'I m m m'
_symmetry_Int_Tables_number 71
_symmetry_space_group_name_Hall '-I 2 2'
_cell_length_a 3.707
_cell_length_b 5.356
_cell_length_c 22.137
_cell_angle_alpha 90.00
_cell_angle_beta 90.00
_cell_angle_gamma 90.00
loop_
_atom_site_label
_atom_site_type_symbol
_atom_site_fract_x
_atom_site_fract_y
_atom_site_fract_z
Tb1 Tb 0.000 0.000 0.000
Tb2 Tb 0.000 0.500 0.124
Tm1 Tm 0.000 0.000 0.234
Cd1 Cd 0.000 0.000 0.500
Cd2 Cd 0.000 0.500 0.381
# Formation energy ... -5.422 kcal/mol of atoms
# Energy ... -3.433 eV per atom

***

(3)
# Tm2Co3Ge4 | Alexandria | GGA-PBE | relaxed
data_Tm2Co3Ge4
_symmetry_space_group_name_H-M 'F m m m'
_symmetry_Int_Tables_number 69
_symmetry_space_group_name_Hall '-F 2 2'
_cell_length_a 5.264
_cell_length_b 9.165
_cell_length_c 12.027
_cell_angle_alpha 90.00
_cell_angle_beta 90.00
_cell_angle_gamma 90.00
loop_
_atom_site_label
_atom_site_type_symbol
_atom_site_fract_x
_atom_site_fract_y
_atom_site_fract_z
Tm1 Tm 0.000 0.000 0.131
Co1 Co 0.000 0.000 0.500
Co2 Co 0.250 0.250 0.000
Ge1 Ge 0.000 0.168 0.346
# Formation energy ... -11.551 kcal/mol of atoms
# Energy ... -5.915 eV per atom

***

(4)
# KHg6Au3 | Alexandria | GGA-PBE | relaxed
data_KHg6Au3
_symmetry_space_group_name_H-M 'P 1'
_symmetry_Int_Tables_number 1
_cell_length_a 6.767
_cell_length_b 6.779
_cell_length_c 7.175
_cell_angle_alpha 106.05
_cell_angle_beta 107.91
_cell_angle_gamma 111.65
loop_
_symmetry_equiv_pos_as_xyz
'x,y,z'
loop_
_atom_site_label
_atom_site_type_symbol
_atom_site_fract_x
_atom_site_fract_y
_atom_site_fract_z
K1 K 0.000 0.000 0.000
Hg1 Hg 0.006 0.542 0.285
Hg2 Hg 0.385 0.833 0.794
Hg3 Hg 0.472 0.382 0.909
Hg4 Hg 0.501 0.525 0.477
Hg5 Hg 0.888 0.950 0.444
Hg6 Hg 0.900 0.390 0.751
Au1 Au 0.356 0.694 0.139
Au2 Au 0.366 0.052 0.494
Au3 Au 0.628 0.181 0.262
# Formation energy ... -2.037 kcal/mol of atoms
# Energy ... -1.362 eV per atom

***

(5)
# NaSr4Tb3S8 | Alexandria | GGA-PBE | relaxed
data_NaSr4Tb3S8
_symmetry_space_group_name_H-M 'R -3 m'
_symmetry_Int_Tables_number 166
_symmetry_space_group_name_Hall '-R 3 2"'
_cell_length_a 8.1909
_cell_length_b 8.1909
_cell_length_c 20.2405
_cell_angle_alpha 90.00
_cell_angle_beta 90.00
_cell_angle_gamma 120.00
loop_
_atom_site_label
_atom_site_type_symbol
_atom_site_fract_x
_atom_site_fract_y
_atom_site_fract_z
Na1 Na 0.0000 0.0000 0.0000
Sr1 Sr 0.0000 0.0000 0.5000
Sr2 Sr 0.0000 0.5000 0.5000
Tb1 Tb 0.0000 0.5000 0.0000
S1 S 0.0000 0.0000 0.2567
S2 S 0.0080 0.5040 0.2564
# Energy ... -5.444 eV per atom
# Uncorrected formation energy ... -2.009 eV/atom

***

(6)
# LaCrCl2 | Alexandria | GGA-PBE | relaxed
data_LaCrCl2
_symmetry_space_group_name_H-M 'R -3 m'
_symmetry_Int_Tables_number 166
_symmetry_space_group_name_Hall '-R 3 2"'
_cell_length_a 3.9809
_cell_length_b 3.9809
_cell_length_c 16.5269
_cell_angle_alpha 90.00
_cell_angle_beta 90.00
_cell_angle_gamma 120.00
loop_
_atom_site_label
_atom_site_type_symbol
_atom_site_fract_x
_atom_site_fract_y
_atom_site_fract_z
La1 La 0.0000 0.0000 0.0000
Cr1 Cr 0.0000 0.0000 0.5000
Cl1 Cl 0.0000 0.0000 0.2219
# Energy ... -4.976 eV per atom
# Uncorrected formation energy ... -0.415 eV/atom
# Energy above the lowest structure with this stoichiometry ... 468 meV/atom

***

(7)
# Cd2Si2As | Alexandria | GGA-PBE | relaxed
data_Cd2Si2As
_symmetry_space_group_name_H-M 'P 4/m b m'
_symmetry_Int_Tables_number 127
_symmetry_space_group_name_Hall '-P 4 2ab'
_cell_length_a 6.710
_cell_length_b 6.710
_cell_length_c 4.553
_cell_angle_alpha 90.00
_cell_angle_beta 90.00
_cell_angle_gamma 90.00
loop_
_atom_site_label
_atom_site_type_symbol
_atom_site_fract_x
_atom_site_fract_y
_atom_site_fract_z
Cd1 Cd 0.183 0.317 0.000
Si1 Si 0.125 0.625 0.500
As1 As 0.000 0.000 0.500
# Energy ... -3.093 eV per atom
# Uncorrected formation energy ... 0.373 eV/atom
# Energy above the lowest structure with this stoichiometry ... 0 meV/atom

***

(8)
# AlVTe2N | Alexandria | GGA-PBE | relaxed
data_AlVTe2N
_symmetry_space_group_name_H-M 'P 4/m m m'
_symmetry_Int_Tables_number 123
_symmetry_space_group_name_Hall '-P 4 2'
_cell_length_a 5.471
_cell_length_b 5.471
_cell_length_c 3.460
_cell_angle_alpha 90.00
_cell_angle_beta 90.00
_cell_angle_gamma 90.00
loop_
_atom_site_label
_atom_site_type_symbol
_atom_site_fract_x
_atom_site_fract_y
_atom_site_fract_z
Al1 Al 0.000 0.000 0.000
V1 V 0.500 0.500 0.500
Te1 Te 0.000 0.500 0.000
N1 N 0.000 0.000 0.500
# Energy ... -4.854 eV per atom
# Uncorrected formation energy ... 0.640 eV/atom
# Energy above the lowest structure with this stoichiometry ... 534 meV/atom

***

(9)
# Li2AcAl6 | Alexandria | GGA-PBE | relaxed
data_Li2AcAl6
_symmetry_space_group_name_H-M 'P 6/m m m'
_symmetry_Int_Tables_number 191
_symmetry_space_group_name_Hall '-P 6 2'
_cell_length_a 8.1987
_cell_length_b 8.1987
_cell_length_c 3.3428
_cell_angle_alpha 90.00
_cell_angle_beta 90.00
_cell_angle_gamma 120.00
loop_
_atom_site_label
_atom_site_type_symbol
_atom_site_fract_x
_atom_site_fract_y
_atom_site_fract_z
Li1 Li 0.3333 0.6667 0.0000
Ac1 Ac 0.0000 0.0000 0.0000
Al1 Al 0.0000 0.3434 0.5000
# Formation energy ... -0.190 kcal/mol of atoms
# Energy ... -3.385 eV per atom
# Energy above the lowest structure with this stoichiometry ... 81 meV/atom

***

(10)
# ReH2Ru | Alexandria | GGA-PBE | relaxed
data_ReH2Ru
_symmetry_space_group_name_H-M 'I -4 2 d'
_symmetry_Int_Tables_number 122
_symmetry_space_group_name_Hall 'I -4 2bw'
_cell_length_a 4.153
_cell_length_b 4.153
_cell_length_c 8.166
_cell_angle_alpha 90.00
_cell_angle_beta 90.00
_cell_angle_gamma 90.00
loop_
_atom_site_label
_atom_site_type_symbol
_atom_site_fract_x
_atom_site_fract_y
_atom_site_fract_z
Re1 Re 0.000 0.000 0.000
H1 H 0.240 0.250 0.625
Ru1 Ru 0.000 0.000 0.500
# Energy ... -6.808 eV per atom
# Energy above the lowest structure with this stoichiometry ... 0 meV/atom

***

(11)
# AlCu2W | Alexandria | GGA-PBE | relaxed
data_AlCu2W
_symmetry_space_group_name_H-M 'P 4 m m'
_symmetry_Int_Tables_number 99
_cell_length_a 2.791
_cell_length_b 2.791
_cell_length_c 6.989
_cell_angle_alpha 90.00
_cell_angle_beta 90.00
_cell_angle_gamma 90.00
loop_
_symmetry_equiv_pos_as_xyz
'x,y,z'
'-y,x,z'
'-x,-y,z'
'y,-x,z'
'-x,y,z'
'y,x,z'
'x,-y,z'
'-y,-x,z'
loop_
_atom_site_label
_atom_site_type_symbol
_atom_site_fract_x
_atom_site_fract_y
_atom_site_fract_z
Al1 Al 0.000 0.000 0.000
Cu1 Cu 0.000 0.000 0.457
Cu2 Cu 0.500 0.500 0.232
W1 W 0.500 0.500 0.717
# Formation energy ... 0.417 kcal/mol of atoms
# Energy ... -6.204 eV per atom

***

(12)
# P6PdI12 | Alexandria | GGA-PBE | relaxed
data_P6PdI12
_symmetry_space_group_name_H-M 'R -3'
_symmetry_Int_Tables_number 148
_symmetry_space_group_name_Hall '-R 3'
_cell_length_a 9.5283
_cell_length_b 9.5283
_cell_length_c 41.0016
_cell_angle_alpha 90.00
_cell_angle_beta 90.00
_cell_angle_gamma 120.00
loop_
_atom_site_label
_atom_site_type_symbol
_atom_site_fract_x
_atom_site_fract_y
_atom_site_fract_z
P1 P 0.0554 0.1573 0.2512
Pd1 Pd 0.0000 0.0000 0.0000
I1 I 0.0570 0.4831 0.8634
I2 I 0.0666 0.5469 0.6291
# Energy ... -2.857 eV per atom
# Uncorrected formation energy ... 0.103 eV/atom

***

(13)
# NdDyTh2 | Alexandria | GGA-PBE | relaxed
data_NdDyTh2
_symmetry_space_group_name_H-M 'R -3 m'
_symmetry_Int_Tables_number 166
_symmetry_space_group_name_Hall '-R 3 2"'
_cell_length_a 3.5105
_cell_length_b 3.5105
_cell_length_c 37.3658
_cell_angle_alpha 90.00
_cell_angle_beta 90.00
_cell_angle_gamma 120.00
loop_
_atom_site_label
_atom_site_type_symbol
_atom_site_fract_x
_atom_site_fract_y
_atom_site_fract_z
Nd1 Nd 0.0000 0.0000 0.0000
Dy1 Dy 0.0000 0.0000 0.5000
Th1 Th 0.0000 0.0000 0.0883
# Formation energy ... 4.510 kcal/mol of atoms
# Energy ... -5.857 eV per atom
# Energy above the lowest structure with this stoichiometry ... 166 meV/atom

***

(14)
# LiBeZn2 | Alexandria | GGA-PBE | relaxed
data_LiBeZn2
_symmetry_space_group_name_H-M 'P 4/m m m'
_symmetry_Int_Tables_number 123
_symmetry_space_group_name_Hall '-P 4 2'
_cell_length_a 2.758
_cell_length_b 2.758
_cell_length_c 6.709
_cell_angle_alpha 90.00
_cell_angle_beta 90.00
_cell_angle_gamma 90.00
loop_
_atom_site_label
_atom_site_type_symbol
_atom_site_fract_x
_atom_site_fract_y
_atom_site_fract_z
Li1 Li 0.000 0.000 0.000
Be1 Be 0.000 0.000 0.500
Zn1 Zn 0.500 0.500 0.275
# Formation energy ... -0.395 kcal/mol of atoms
# Energy ... -2.064 eV per atom

***

(15)
# Li3WC | Alexandria | GGA-PBE | relaxed
data_Li3WC
_symmetry_space_group_name_H-M 'P m -3 m'
_symmetry_Int_Tables_number 221
_symmetry_space_group_name_Hall '-P 4 2 3'
_cell_length_a 3.858
_cell_length_b 3.858
_cell_length_c 3.858
_cell_angle_alpha 90.00
_cell_angle_beta 90.00
_cell_angle_gamma 90.00
loop_
_atom_site_label
_atom_site_type_symbol
_atom_site_fract_x
_atom_site_fract_y
_atom_site_fract_z
Li1 Li 0.000 0.000 0.500
W1 W 0.500 0.500 0.500
C1 C 0.000 0.000 0.000
# Formation energy ... 31.168 kcal/mol of atoms
# Energy ... -4.232 eV per atom
# Energy above the lowest structure with this stoichiometry ... 0 meV/atom

***

(16)
# HoFeB2Ru | Alexandria | GGA-PBE | relaxed
data_HoFeB2Ru
_symmetry_space_group_name_H-M 'I -4 m 2'
_symmetry_Int_Tables_number 119
_symmetry_space_group_name_Hall 'I -4 -2'
_cell_length_a 3.733
_cell_length_b 3.733
_cell_length_c 9.473
_cell_angle_alpha 90.00
_cell_angle_beta 90.00
_cell_angle_gamma 90.00
loop_
_atom_site_label
_atom_site_type_symbol
_atom_site_fract_x
_atom_site_fract_y
_atom_site_fract_z
Ho1 Ho 0.000 0.000 0.000
Fe1 Fe 0.000 0.500 0.250
B1 B 0.000 0.000 0.348
Ru1 Ru 0.000 0.500 0.750
# Formation energy ... -10.070 kcal/mol of atoms
# Energy ... -7.571 eV per atom

***

(17)
# Pu2PaRh | Alexandria | GGA-PBE | relaxed
data_Pu2PaRh
_symmetry_space_group_name_H-M 'P 4/m m m'
_symmetry_Int_Tables_number 123
_symmetry_space_group_name_Hall '-P 4 2'
_cell_length_a 3.466
_cell_length_b 3.466
_cell_length_c 7.157
_cell_angle_alpha 90.00
_cell_angle_beta 90.00
_cell_angle_gamma 90.00
loop_
_atom_site_label
_atom_site_type_symbol
_atom_site_fract_x
_atom_site_fract_y
_atom_site_fract_z
Pu1 Pu 0.000 0.000 0.224
Pa1 Pa 0.500 0.500 0.500
Rh1 Rh 0.500 0.500 0.000
# Formation energy ... -4.947 kcal/mol of atoms
# Energy ... -11.592 eV per atom
# Energy above the lowest structure with this stoichiometry ... 0 meV/atom

***

(18)
# Tb2TmRh3 | Alexandria | GGA-PBE | relaxed
data_Tb2TmRh3
_symmetry_space_group_name_H-M 'P -3 m 1'
_symmetry_Int_Tables_number 164
_symmetry_space_group_name_Hall '-P 3 2"'
_cell_length_a 4.8386
_cell_length_b 4.8386
_cell_length_c 11.8273
_cell_angle_alpha 90.00
_cell_angle_beta 90.00
_cell_angle_gamma 120.00
loop_
_atom_site_label
_atom_site_type_symbol
_atom_site_fract_x
_atom_site_fract_y
_atom_site_fract_z
Tb1 Tb 0.0000 0.0000 0.0000
Tb2 Tb 0.0000 0.0000 0.5000
Tb3 Tb 0.3333 0.6667 0.1686
Tm1 Tm 0.3333 0.6667 0.6655
Rh1 Rh 0.0000 0.0000 0.2523
Rh2 Rh 0.3333 0.6667 0.4170
Rh3 Rh 0.3333 0.6667 0.9144
# Formation energy ... -20.414 kcal/mol of atoms
# Energy ... -6.850 eV per atom
# Energy above the lowest structure with this stoichiometry ... 0 meV/atom

***

(19)
# Li3In2Au2 | Alexandria | GGA-PBE | relaxed
data_Li3In2Au2
_symmetry_space_group_name_H-M 'C 1 2/m 1'
_symmetry_Int_Tables_number 12
_cell_length_a 8.137
_cell_length_b 4.627
_cell_length_c 7.157
_cell_angle_alpha 90.00
_cell_angle_beta 110.92
_cell_angle_gamma 90.00
loop_
_symmetry_equiv_pos_as_xyz
'x,y,z'
'-x,-y,-z'
'-x,y,-z'
'x,-y,z'
'x+1/2,y+1/2,z'
'-x+1/2,-y+1/2,-z'
'-x+1/2,y+1/2,-z'
'x+1/2,-y+1/2,z'
loop_
_atom_site_label
_atom_site_type_symbol
_atom_site_fract_x
_atom_site_fract_y
_atom_site_fract_z
Li1 Li 0.000 0.000 0.000
Li2 Li 0.138 0.000 0.420
In1 In 0.218 0.500 0.156
Au1 Au 0.072 0.500 0.716
# Formation energy ... -10.071 kcal/mol of atoms
# Energy ... -2.976 eV per atom

***

(20)
# BeHgI2N | Alexandria | GGA-PBE | relaxed
data_BeHgI2N
_symmetry_space_group_name_H-M 'P 4/m m m'
_symmetry_Int_Tables_number 123
_symmetry_space_group_name_Hall '-P 4 2'
_cell_length_a 6.131
_cell_length_b 6.131
_cell_length_c 4.158
_cell_angle_alpha 90.00
_cell_angle_beta 90.00
_cell_angle_gamma 90.00
loop_
_atom_site_label
_atom_site_type_symbol
_atom_site_fract_x
_atom_site_fract_y
_atom_site_fract_z
Be1 Be 0.000 0.000 0.000
Hg1 Hg 0.500 0.500 0.500
I1 I 0.000 0.500 0.500
N1 N 0.500 0.500 0.000
# Energy ... -1.715 eV per atom
# Uncorrected formation energy ... 1.376 eV/atom
# Energy above the lowest structure with this stoichiometry ... 1107 meV/atom